A relaxed Rb2SeO4 crystal. Source: Alexandria via LeMat-Bulk, functional GGA-PBEsol.

a b c (Å): 6.1808 6.1808 8.3666
angles (deg): 90.01 90.01 118.16
Fractional positions:
Rb  0.9930  0.9930  0.5053
Rb  0.9930  0.9930  0.0053
Rb  0.6727  0.2926  0.7553
Rb  0.2926  0.6727  0.2553
Se  0.6542  0.3516  0.2554
Se  0.3516  0.6542  0.7554
O  0.3474  0.2043  0.2557
O  0.7505  0.6544  0.2550
O  0.7628  0.2792  0.0936
O  0.7638  0.2803  0.4172
O  0.2803  0.7638  0.9172
O  0.2792  0.7628  0.5936
O  0.2043  0.3474  0.7557
O  0.6544  0.7505  0.7550

Properties
total moment	0.01	μB/atom
mass density	3.700	Mg/m³
total DFT energy (no corrections)	-5.239	eV per atom
space group	Ama2
uncorrected formation energy	-1.397	eV/atom

---

A relaxed Rb2Se2O7 crystal. Source: Alexandria via LeMat-Bulk, functional GGA-PBEsol.

a b c (Å): 7.6796 7.6796 7.7872
angles (deg): 87.23 87.23 60.99
Fractional positions:
Rb  0.5023  0.2073  0.3595
Rb  0.7927  0.4977  0.1405
Rb  0.4977  0.7927  0.6405
Rb  0.2073  0.5023  0.8595
Se  0.0741  0.7169  0.3644
Se  0.2831  0.9259  0.1356
Se  0.9259  0.2831  0.6356
Se  0.7169  0.0741  0.8644
O  0.2419  0.6469  0.5128
O  0.3531  0.7581  0.9872
O  0.7581  0.3531  0.4872
O  0.6469  0.2419  0.0128
O  0.1392  0.5439  0.2216
O  0.4561  0.8608  0.2784
O  0.8608  0.4561  0.7784
O  0.5439  0.1392  0.7216
O  0.8428  0.8120  0.4335
O  0.1880  0.1572  0.0665
O  0.1572  0.1880  0.5665
O  0.8120  0.8428  0.9335
O  0.0656  0.9344  0.2500
O  0.9344  0.0656  0.7500

Properties
total moment	0.00	μB/atom
mass density	3.651	Mg/m³
total DFT energy (no corrections)	-5.330	eV per atom
space group	C2/c
uncorrected formation energy	-1.104	eV/atom

---

The lowest mass density belongs to which entry? Rb2Se2O7